Material: CeMnIn4O8
Method: DFT, PBE+U
State: optimized geometry

Computed properties:
The total magnetization comes out at 2.985 μB/f.u. For the total energy, the calculation gives -6.20 eV per atom.

Unit cell a=6.7393 b=6.7393 c=6.4541 alpha=58.53 beta=58.53 gamma=60.00
Last column: nearest neighbours and their distance in Å.
Fractional positions:
Ce 0.3842 0.3842 0.8474  4 O 2.23-2.28
Mn 0.9994 0.9994 0.0018  6 O 2.03-2.13
In 0.6103 0.6103 0.1692  4 O 2.23-2.32
In 0.9978 0.5048 0.4995  6 O 2.22-2.27
In 0.5048 0.9978 0.4995  6 O 2.22-2.27
In 0.9978 0.9978 0.4995  6 O 2.22-2.27
O 0.2284 0.7976 0.7457  1 Mn 2.13, 2 In 2.24, 1 Ce 2.28
O 0.7976 0.2284 0.7457  1 Mn 2.13, 2 In 2.24, 1 Ce 2.28
O 0.2284 0.2284 0.7457  1 Mn 2.13, 2 In 2.24, 1 Ce 2.28
O 0.2396 0.2396 0.2812  1 Ce 2.23, 3 In 2.27
O 0.7814 0.1944 0.2428  1 Mn 2.03, 2 In 2.22
O 0.1944 0.7814 0.2428  1 Mn 2.03, 2 In 2.22
O 0.7814 0.7814 0.2428  1 Mn 2.03, 2 In 2.22
O 0.7546 0.7546 0.7363  4 In 2.23-2.27